Model 1:
Here is a geometry-optimized MnMoP4 structure from the Alexandria database. Energies are from PBE.

Output
Crystal system: cubic
SG: No. 216

```
6
Lattice="0.000 3.477 3.477 3.477 0.000 3.477 3.477 3.477 0.000" Properties=species:S:1:pos:R:3 pbc="T T T"
Mn 0.000 0.000 0.000
Mo 5.216 5.216 5.216
P 2.610 2.610 2.610
P 4.344 4.344 2.610
P 4.344 2.610 4.344
P 2.610 4.344 4.344
```

=====

Model 2:
Here is a geometry-optimized MnMoP4 structure from the Alexandria database. Energies are from PBE.

Output
Crystal system: monoclinic
SG: No. 13

```
12
Lattice="5.599 0.000 0.000 0.000 6.397 0.000 -0.001 0.000 5.443" Properties=species:S:1:pos:R:3 pbc="T T T"
Mn 0.000 0.638 1.361
Mn -0.001 5.759 4.082
Mo 2.798 2.527 4.082
Mo 2.799 3.869 1.361
P 0.829 1.403 3.320
P 0.829 4.994 0.599
P 1.942 1.586 0.671
P 1.942 4.811 3.392
P 3.656 1.586 2.050
P 3.655 4.811 4.772
P 4.768 1.403 4.844
P 4.769 4.994 2.122
```

=====

Q: Which of them is the most stable? A: model 2.

=====

Model 1:
Here is a geometry-optimized MnMo3P structure from the Alexandria database. Energies are from PBE.

Output
Crystal system: cubic
SG: No. 221

```
5
Lattice="4.393 0.000 0.000 0.000 4.393 0.000 0.000 0.000 4.393" Properties=species:S:1:pos:R:3 pbc="T T T"
Mn 0.000 0.000 0.000
Mo 0.000 2.196 2.196
Mo 2.196 0.000 2.196
Mo 2.196 2.196 0.000
P 2.196 2.196 2.196
```

=====

Model 2:
Here is a geometry-optimized MnMo3P structure from the Alexandria database. Energies are from PBE.

Output
Crystal system: cubic
SG: No. 221

```
5
Lattice="4.446 0.000 0.000 0.000 4.446 0.000 0.000 0.000 4.446" Properties=species:S:1:pos:R:3 pbc="T T T"
Mn 0.000 0.000 0.000
Mo 0.000 0.000 2.223
Mo 0.000 2.223 0.000
Mo 2.223 0.000 0.000
P 2.223 2.223 2.223
```

=====

Q: Which of them is the most stable? A: model 1.

=====

Model 1:
Here is a geometry-optimized MnMoP2S structure from the Alexandria database. Energies are from PBE.

Output
Crystal system: tetragonal
SG: No. 123

```
5
Lattice="4.719 0.000 0.000 0.000 4.719 0.000 0.000 0.000 4.541" Properties=species:S:1:pos:R:3 pbc="T T T"
Mn 0.000 0.000 0.000
Mo 2.359 2.359 2.271
P 0.000 2.359 2.271
P 2.359 0.000 2.271
S 2.359 2.359 0.000
```

=====

Model 2:
Here is a geometry-optimized MnMoP2S structure from the Alexandria database. Energies are from PBE.

Output
Crystal system: tetragonal
SG: No. 123

```
5
Lattice="4.321 0.000 0.000 0.000 4.321 0.000 0.000 0.000 4.692" Properties=species:S:1:pos:R:3 pbc="T T T"
Mn 0.000 0.000 0.000
Mo 2.161 2.161 2.346
P 0.000 2.161 0.000
P 2.161 0.000 0.000
S 0.000 0.000 2.346
```

=====

Q: Which of them is the most stable? A: model 2.

=====

Model 1:
Here is a geometry-optimized MnMoPb3 structure from the Alexandria database. Energies are from PBE.

Output
Crystal system: cubic
SG: No. 221

```
5
Lattice="5.205 0.000 0.000 0.000 5.205 0.000 0.000 0.000 5.205" Properties=species:S:1:pos:R:3 pbc="T T T"
Mn 0.000 0.000 0.000
Mo 2.602 2.602 2.602
Pb 0.000 0.000 2.602
Pb 0.000 2.602 0.000
Pb 2.602 0.000 0.000
```

=====

Model 2:
Here is a geometry-optimized MnMoPb3 structure from the Alexandria database. Energies are from PBE.

Output
Crystal system: cubic
SG: No. 221

```
5
Lattice="5.403 0.000 0.000 0.000 5.403 0.000 0.000 0.000 5.403" Properties=species:S:1:pos:R:3 pbc="T T T"
Mn 0.000 0.000 0.000
Mo 2.701 2.701 2.701
Pb 0.000 2.701 2.701
Pb 2.701 0.000 2.701
Pb 2.701 2.701 0.000
```

=====

Q: Which of them is the most stable? A: model 2.

=====

Model 1:
Here is a geometry-optimized MnMoPd structure from the Alexandria database. Energies are from PBE.

Output
Crystal system: tetragonal
SG: No. 129

```
6
Lattice="2.705 0.000 0.000 0.000 2.705 0.000 0.000 0.000 11.391" Properties=species:S:1:pos:R:3 pbc="T T T"
Mn 0.676 0.676 0.678
Mn 2.029 2.029 10.713
Mo 0.676 0.676 8.788
Mo 2.029 2.029 2.603
Pd 0.676 0.676 4.620
Pd 2.029 2.029 6.771
```

=====

Model 2:
Here is a geometry-optimized MnMoPd structure from the Alexandria database. Energies are from PBE.

Output
Crystal system: tetragonal
SG: No. 107

```
3
Lattice="-1.366 1.366 5.960 1.366 -1.366 5.960 1.366 1.366 -5.960" Properties=species:S:1:pos:R:3 pbc="T T T"
Mn 0.000 0.000 0.000
Mo 0.000 0.000 7.929
Pd 0.000 0.000 4.016
```

=====

Q: Which of them is the most stable? A: model 1.

=====

Model 1:
Here is a geometry-optimized MnMo2Pd structure from the Alexandria database. Energies are from PBE.

Output
Crystal system: tetragonal
SG: No. 122

```
8
Lattice="-1.837 1.837 9.693 1.837 -1.837 9.693 1.837 1.837 -9.693" Properties=species:S:1:pos:R:3 pbc="T T T"
Mn 0.000 0.000 0.000
Mn 0.000 1.837 4.846
Mo 2.755 0.865 -2.423
Mo 0.865 0.918 2.423
Mo -0.918 0.972 7.269
Mo 0.972 0.918 12.116
Pd 1.837 0.000 4.846
Pd 0.000 0.000 9.693
```

=====

Model 2:
Here is a geometry-optimized MnMo2Pd structure from the Alexandria database. Energies are from PBE.

Output
Crystal system: cubic
SG: No. 225

```
4
Lattice="0.000 3.085 3.085 3.085 0.000 3.085 3.085 3.085 0.000" Properties=species:S:1:pos:R:3 pbc="T T T"
Mn 0.000 0.000 0.000
Mo 1.542 1.542 1.542
Mo 4.627 4.627 4.627
Pd 3.085 3.085 3.085
```

=====

Q: Which of them is the most stable? A: model 2.

=====

Model 1:
Here is a geometry-optimized MnMoPt2 structure from the Alexandria database. Energies are from PBE.

Output
Crystal system: trigonal
SG: No. 166

```
4
Lattice="1.398 0.807 8.976 -1.398 0.807 8.976 0.000 -1.614 8.976" Properties=species:S:1:pos:R:3 pbc="T T T"
Mn 0.000 0.000 0.000
Mo 0.000 0.000 13.464
Pt 0.000 0.000 6.783
Pt 0.000 0.000 20.145
```

=====

Model 2:
Here is a geometry-optimized MnMoPt2 structure from the Alexandria database. Energies are from PBE.

Output
Crystal system: monoclinic
SG: No. 8

```
4
Lattice="4.590 -1.387 0.000 4.590 1.387 0.000 -0.891 0.000 4.753" Properties=species:S:1:pos:R:3 pbc="T T T"
Mn 0.000 0.000 0.000
Mo 1.702 0.000 3.433
Pt 4.177 0.000 2.416
Pt 6.669 0.000 1.033
```

=====

Model 3:
Here is a geometry-optimized MnMoPt2 structure from the Alexandria database. Energies are from PBE.

Output
Crystal system: cubic
SG: No. 225

```
4
Lattice="0.000 3.102 3.102 3.102 0.000 3.102 3.102 3.102 0.000" Properties=species:S:1:pos:R:3 pbc="T T T"
Mn 0.000 0.000 0.000
Mo 3.102 3.102 3.102
Pt 1.551 1.551 1.551
Pt 4.654 4.654 4.654
```

=====

Model 4:
Here is a geometry-optimized MnMoPt2 structure from the Alexandria database. Energies are from PBE.

Output
Crystal system: cubic
SG: No. 216

```
4
Lattice="0.000 3.118 3.118 3.118 0.000 3.118 3.118 3.118 0.000" Properties=species:S:1:pos:R:3 pbc="T T T"
Mn 0.000 0.000 0.000
Mo 1.559 1.559 1.559
Pt 3.118 3.118 3.118
Pt 4.678 4.678 4.678
```

=====

Q: Which of them is the most stable? A: model 2.

=====

Model 1:
Here is a geometry-optimized MnMoPt2 structure from the Alexandria database. Energies are from PBE.

Output
Crystal system: orthorhombic
SG: No. 65

```
4
Lattice="2.750 -3.961 0.000 2.750 3.961 0.000 0.000 0.000 2.769" Properties=species:S:1:pos:R:3 pbc="T T T"
Mn 0.000 0.000 0.000
Mo 2.750 0.000 0.000
Pt 1.375 1.981 1.384
Pt 1.375 -1.981 1.384
```

=====

Model 2:
Here is a geometry-optimized MnMoPt2 structure from the Alexandria database. Energies are from PBE.

Output
Crystal system: orthorhombic
SG: No. 47

```
4
Lattice="2.782 0.000 0.000 0.000 3.952 0.000 0.000 0.000 5.462" Properties=species:S:1:pos:R:3 pbc="T T T"
Mn 0.000 0.000 0.000
Mo 0.000 0.000 2.731
Pt 1.391 1.976 1.363
Pt 1.391 1.976 4.099
```

=====

Model 3:
Here is a geometry-optimized MnMoPt2 structure from the Alexandria database. Energies are from PBE.

Output
Crystal system: tetragonal
SG: No. 122

```
8
Lattice="-1.862 1.862 9.037 1.862 -1.862 9.037 1.862 1.862 -9.037" Properties=species:S:1:pos:R:3 pbc="T T T"
Mn 0.000 0.000 0.000
Mn 0.000 1.862 4.518
Mo 1.862 0.000 4.518
Mo 0.000 0.000 9.037
Pt 2.792 0.899 -2.259
Pt 0.899 0.931 2.259
Pt -0.931 0.963 6.778
Pt 0.963 0.931 11.296
```

=====

Q: Which of them is the most stable? A: model 2.

=====

Model 1:
Here is a geometry-optimized MnMoPt2 structure from the Alexandria database. Energies are from PBE.

Output
Crystal system: monoclinic
SG: No. 10

```
4
Lattice="4.793 0.000 0.000 0.000 2.783 0.000 -1.626 0.000 4.523" Properties=species:S:1:pos:R:3 pbc="T T T"
Mn 0.000 0.000 0.000
Mo 2.396 1.392 0.000
Pt -0.813 1.392 2.261
Pt 1.583 0.000 2.261
```

=====

Model 2:
Here is a geometry-optimized MnMoPt2 structure from the Alexandria database. Energies are from PBE.

Output
Crystal system: monoclinic
SG: No. 12

```
4
Lattice="4.596 -1.392 0.000 4.596 1.392 0.000 -0.863 0.000 4.709" Properties=species:S:1:pos:R:3 pbc="T T T"
Mn 0.000 0.000 0.000
Mo 4.165 0.000 2.355
Pt 1.670 0.000 3.533
Pt 6.661 0.000 1.176
```

=====

Model 3:
Here is a geometry-optimized MnMoPt2 structure from the Alexandria database. Energies are from PBE.

Output
Crystal system: orthorhombic
SG: No. 25

```
4
Lattice="2.765 0.000 0.000 0.000 4.470 0.000 0.000 0.000 4.861" Properties=species:S:1:pos:R:3 pbc="T T T"
Mn 0.000 0.000 0.000
Mo 0.000 2.235 3.243
Pt 1.382 0.000 2.457
Pt 1.382 2.235 0.780
```

=====

Model 4:
Here is a geometry-optimized MnMoPt2 structure from the Alexandria database. Energies are from PBE.

Output
Crystal system: tetragonal
SG: No. 139

```
4
Lattice="-1.938 1.938 3.967 1.938 -1.938 3.967 1.938 1.938 -3.967" Properties=species:S:1:pos:R:3 pbc="T T T"
Mn 0.000 0.000 0.000
Mo 0.000 0.000 3.967
Pt 1.938 0.000 1.983
Pt 0.000 1.938 1.983
```

=====

Q: Which of them is the most stable? A: model 4.

=====

Model 1:
Here is a geometry-optimized Rb2MnMo structure from the Alexandria database. Energies are from PBE.

Output
Crystal system: cubic
SG: No. 225

```
4
Lattice="0.000 4.427 4.427 4.427 0.000 4.427 4.427 4.427 0.000" Properties=species:S:1:pos:R:3 pbc="T T T"
Rb 2.214 2.214 2.214
Rb 6.641 6.641 6.641
Mn 0.000 0.000 0.000
Mo 4.427 4.427 4.427
```

=====

Model 2:
Here is a geometry-optimized Rb2MnMo structure from the Alexandria database. Energies are from PBE.

Output
Crystal system: tetragonal
SG: No. 122

```
8
Lattice="-6.745 6.745 2.069 6.745 -6.745 2.069 6.745 6.745 -2.069" Properties=species:S:1:pos:R:3 pbc="T T T"
Rb -0.843 3.373 0.517
Rb 3.373 5.902 1.552
Rb 0.843 10.118 0.517
Rb -3.373 7.589 1.552
Mn 0.000 0.000 0.000
Mn 0.000 6.745 1.034
Mo 6.745 0.000 1.034
Mo 0.000 0.000 2.069
```

=====

Q: Which of them is the most stable? A: model 2.

=====

Model 1:
Here is a geometry-optimized RbMnMo2 structure from the Alexandria database. Energies are from PBE.

Output
Crystal system: cubic
SG: No. 225

```
4
Lattice="0.000 3.223 3.223 3.223 0.000 3.223 3.223 3.223 0.000" Properties=species:S:1:pos:R:3 pbc="T T T"
Rb 0.000 0.000 0.000
Mn 3.223 3.223 3.223
Mo 1.612 1.612 1.612
Mo 4.835 4.835 4.835
```

=====

Model 2:
Here is a geometry-optimized RbMnMo2 structure from the Alexandria database. Energies are from PBE.

Output
Crystal system: tetragonal
SG: No. 122

```
8
Lattice="-2.609 2.609 7.768 2.609 -2.609 7.768 2.609 2.609 -7.768" Properties=species:S:1:pos:R:3 pbc="T T T"
Rb 0.000 0.000 0.000
Rb 0.000 2.609 3.884
Mn 2.609 0.000 3.884
Mn 0.000 0.000 7.768
Mo 1.304 2.596 -1.942
Mo 2.621 1.304 1.942
Mo 1.304 0.012 5.826
Mo -0.012 1.304 9.710
```

=====

Q: Which of them is the most stable? A: model 2.

=====

Model 1:
Here is a geometry-optimized RbMnMo3 structure from the Alexandria database. Energies are from PBE.

Output
Crystal system: cubic
SG: No. 221

```
5
Lattice="4.609 0.000 0.000 0.000 4.609 0.000 0.000 0.000 4.609" Properties=species:S:1:pos:R:3 pbc="T T T"
Rb 0.000 0.000 0.000
Mn 2.305 2.305 2.305
Mo 0.000 0.000 2.305
Mo 0.000 2.305 0.000
Mo 2.305 0.000 0.000
```

=====

Model 2:
Here is a geometry-optimized RbMnMo3 structure from the Alexandria database. Energies are from PBE.

Output
Crystal system: cubic
SG: No. 221

```
5
Lattice="4.686 0.000 0.000 0.000 4.686 0.000 0.000 0.000 4.686" Properties=species:S:1:pos:R:3 pbc="T T T"
Rb 0.000 0.000 0.000
Mn 2.343 2.343 2.343
Mo 0.000 2.343 2.343
Mo 2.343 0.000 2.343
Mo 2.343 2.343 0.000
```

=====

Q: Which of them is the most stable? A: model 2.